Computed, not measured: a relaxed structure of CaTa2GaCl at the PBE-GGA level of DFT.

Unit cell a=4.867 b=5.986 c=4.867 alpha=90.00 beta=90.00 gamma=90.00
Last column: magnetic moment on the atom in μB.
Sites, in units of the cell vectors:
Ta  0.500  0.000  0.000  1.00
Ta  0.000  0.000  0.500  1.31
Cl  0.500  0.500  0.500  0.10
Ga  0.000  0.000  0.000  0.07
Ca  0.000  0.500  0.000  0.06

Results
Volume (Å³ per atom): 28.36
Uncorrected energy (eV/atom): -5.118
Formation energy without anion corrections (eV/atom): 1.00
Space-group type: P4/mmm (123)
Total moment (μB/cell): 4.17